A plane-wave DFT calculation with GGA-PBEsol was carried out for a geometry-optimized BaTeBr3 structure.

E_form (uncorrected), eV per formula unit: -3.8
Polymorph energy (0 for the lowest one), eV per atom: 0.000
Space-group type: Pm-3m, No. 221

Cell: 5.800 5.800 5.800 Å, 90.00 90.00 90.00°
Fractional coordinates of all 5 atoms:
Te (0.000, 0.000, 0.000)
Br (0.000, 0.000, 0.500)
Ba (0.500, 0.500, 0.500)
Br (0.000, 0.500, 0.000)
Br (0.500, 0.000, 0.000)

A plane-wave DFT calculation with GGA-PBEsol was carried out for a geometry-optimized Ba3TeBr structure.

E_form (uncorrected), eV per formula unit: -3.7
Space-group type: Pm-3m, No. 221

Cell: 6.523 6.523 6.523 Å, 90.00 90.00 90.00°
Site moments in Bohr magnetons follow the coordinates.
Fractional coordinates of all 5 atoms:
Ba (0.000, 0.000, 0.500)  0.09
Te (0.000, 0.000, 0.000)  0.00
Ba (0.500, 0.000, 0.000)  0.09
Ba (0.000, 0.500, 0.000)  0.09
Br (0.500, 0.500, 0.500)  0.01

A plane-wave DFT calculation with GGA-PBEsol was carried out for a geometry-optimized BaTeBr3 structure.

E_form (uncorrected), eV per formula unit: -3.5
Polymorph energy (0 for the lowest one), eV per atom: 0.049
Space-group type: Pm-3m, No. 221

Cell: 6.178 6.178 6.178 Å, 90.00 90.00 90.00°
Site moments in Bohr magnetons follow the coordinates.
Fractional coordinates of all 5 atoms:
Te (0.500, 0.500, 0.500)  1.35
Br (0.500, 0.000, 0.000)  0.14
Ba (0.000, 0.000, 0.000)  0.00
Br (0.000, 0.500, 0.000)  0.14
Br (0.000, 0.000, 0.500)  0.14

A plane-wave DFT calculation with GGA-PBEsol was carried out for a geometry-optimized BaTeBr4 structure.

E_form (uncorrected), eV per formula unit: -2.5
Space-group type: F-43m, No. 216

Cell: 6.270 6.270 6.270 Å, 60.00 60.00 60.00°
Site moments in Bohr magnetons follow the coordinates.
Fractional coordinates of all 6 atoms:
Br (0.873, 0.376, 0.376)  -0.10
Br (0.376, 0.376, 0.376)  -0.10
Br (0.376, 0.873, 0.376)  -0.10
Te (0.750, 0.750, 0.750)  0.41
Ba (0.000, 0.000, 0.000)  0.01
Br (0.376, 0.376, 0.873)  -0.10

A plane-wave DFT calculation with GGA-PBEsol was carried out for a geometry-optimized Ba3TiBr structure.

E_form (uncorrected), eV per formula unit: 0.2
Polymorph energy (0 for the lowest one), eV per atom: 0.000
Space-group type: Pm-3m, No. 221

Cell: 6.150 6.150 6.150 Å, 90.00 90.00 90.00°
Site moments in Bohr magnetons follow the coordinates.
Fractional coordinates of all 5 atoms:
Ba (0.500, 0.000, 0.000)  0.16
Ti (0.500, 0.500, 0.500)  1.98
Ba (0.000, 0.000, 0.500)  0.16
Br (0.000, 0.000, 0.000)  0.01
Ba (0.000, 0.500, 0.000)  0.16

A plane-wave DFT calculation with GGA-PBEsol was carried out for a geometry-optimized BaTl2Br structure.

E_form (uncorrected), eV per formula unit: -2.8
Polymorph energy (0 for the lowest one), eV per atom: 0.000
Space-group type: P4/mmm, No. 123

Cell: 4.500 4.500 6.591 Å, 90.00 90.00 90.00°
Fractional coordinates of all 4 atoms:
Ba (0.500, 0.500, 0.500)
Tl (0.500, 0.000, 0.000)
Tl (0.000, 0.500, 0.000)
Br (0.000, 0.000, 0.500)

Question: Which of these has the lowest E_form (uncorrected)?
Answer: number 1

Question: Which value of E_form (uncorrected) does entry 4 give?
Answer: -2.5 eV per formula unit